Here is AlTlHg after structural relaxation from Alexandria. Energies are from GGA-PBE.

a b c (Å): 11.187 4.254 6.534
angles (deg): 90.00 90.00 90.00
Positions (direct):
Al1 0.068 0.250 0.078
Al2 0.432 0.750 0.578
Al3 0.568 0.250 0.422
Al4 0.932 0.750 0.922
Tl1 0.234 0.750 0.887
Tl2 0.266 0.250 0.387
Tl3 0.734 0.750 0.613
Tl4 0.766 0.250 0.113
Hg1 0.000 0.250 0.657
Hg2 0.000 0.750 0.343
Hg3 0.500 0.250 0.843
Hg4 0.500 0.750 0.157

- M_tot (μB/cell) = 0.0
- VASP energy (eV/atom) = -1.988
- V (Å³ per cell) = 311.0
- density (Mg/m³) = 9.226